i:
Computed, not measured: a relaxed ZrCo2Os crystal at the GGA-PBE level of DFT.

Results
As for the total magnetization: 0.00 μB per cell. The density of states at the Fermi level comes out at 1.1727 states/eV/atom. The value obtained for the mass density is 11.86 g cm⁻³. For the volume, the calculation gives 55.9 Å³/cell.

POSCAR file:
```
ZrCo2Os
1.0
-1.061 -3.550 -2.752
3.600 -0.651 -2.814
-0.166 0.362 4.598
Co Os Zr
2 1 1
Cartesian
2.538 -4.201 -5.566
1.269 -2.101 -2.784
0.021 -2.644 -0.468
2.351 -1.195 -0.500
```



ii:
Computed, not measured: a relaxed ZrCo2Os crystal at the GGA-PBE level of DFT.

Results
As for the total magnetization: 2.88 μB per cell. The density of states at the Fermi level comes out at 1.4799 states/eV/atom. The value obtained for the mass density is 11.40 g cm⁻³. For the volume, the calculation gives 58.2 Å³/cell.

POSCAR file:
```
ZrCo2Os
1.0
-0.476 -4.991 -7.531
2.057 -5.686 -6.730
-0.119 -7.016 -5.711
Co Os Zr
2 1 1
Cartesian
1.451 -17.561 -19.824
0.741 -8.977 -10.134
0.365 -4.423 -4.993
1.096 -13.269 -14.979
```



iii:
Computed, not measured: a relaxed ZrCo2Os crystal at the GGA-PBE level of DFT.

Results
As for the total magnetization: 0.00 μB per cell. The density of states at the Fermi level comes out at 1.2929 states/eV/atom. The value obtained for the mass density is 11.84 g cm⁻³. For the volume, the calculation gives 56.0 Å³/cell.

POSCAR file:
```
ZrCo2Os
1.0
4.085 0.000 0.000
0.000 2.795 0.108
0.000 1.210 4.952
Co Os Zr
2 1 1
Cartesian
0.000 1.735 4.965
2.042 0.471 1.378
0.000 1.841 2.154
2.042 3.172 4.045
```



Which of them is the most stable? Correct choice: i.



i:
Computed, not measured: a relaxed ZrCoOs crystal at the GGA-PBE level of DFT.

Results
As for the total magnetization: 0.00 μB per cell. The density of states at the Fermi level comes out at 1.3312 states/eV/atom. The value obtained for the mass density is 11.75 g cm⁻³. For the volume, the calculation gives 96.2 Å³/cell.

POSCAR file:
```
ZrCoOs
1.0
3.840 0.000 0.000
0.000 3.840 0.000
-1.920 -1.920 6.527
Co Os Zr
2 2 2
Cartesian
0.000 0.000 1.632
1.920 1.920 4.895
0.000 1.920 0.000
1.920 0.000 0.000
1.920 1.920 2.253
0.000 0.000 4.274
```



ii:
Computed, not measured: a relaxed ZrCoOs crystal at the GGA-PBE level of DFT.

Results
As for the total magnetization: 0.00 μB per cell. The density of states at the Fermi level comes out at 1.0510 states/eV/atom. The value obtained for the mass density is 12.17 g cm⁻³. For the volume, the calculation gives 185.7 Å³/cell.

POSCAR file:
```
ZrCoOs
1.0
5.454 0.000 -0.003
0.000 4.040 0.000
-2.680 0.000 8.430
Co Os Zr
4 4 4
Cartesian
-1.325 0.000 8.113
0.016 2.020 3.898
1.513 0.000 5.400
2.853 2.020 1.185
3.971 0.000 2.310
2.631 2.020 6.525
1.410 0.000 8.122
2.750 2.020 3.907
1.312 0.000 2.763
-0.028 2.020 6.979
-1.258 0.000 5.063
0.082 2.020 0.848
```



Which of them is the most stable? Correct choice: i.



i:
Computed, not measured: a relaxed ZrCoOs crystal at the GGA-PBE level of DFT.

Results
As for the total magnetization: 0.00 μB per cell. The density of states at the Fermi level comes out at 0.8497 states/eV/atom. The value obtained for the mass density is 12.27 g cm⁻³. For the volume, the calculation gives 184.3 Å³/cell.

POSCAR file:
```
ZrCoOs
1.0
5.395 0.000 0.000
0.000 4.281 0.000
-1.508 0.000 7.979
Co Os Zr
4 4 4
Cartesian
1.472 0.000 1.471
2.415 0.000 6.508
0.718 2.140 5.461
3.169 2.140 2.518
1.943 0.000 3.990
2.697 2.140 0.000
0.000 2.140 0.000
-0.754 0.000 3.989
-0.176 0.000 6.794
4.063 0.000 1.186
0.578 2.140 2.804
3.309 2.140 5.175
```



ii:
Computed, not measured: a relaxed ZrCoOs crystal at the GGA-PBE level of DFT.

Results
As for the total magnetization: 0.00 μB per cell. The density of states at the Fermi level comes out at 1.0811 states/eV/atom. The value obtained for the mass density is 12.21 g cm⁻³. For the volume, the calculation gives 92.6 Å³/cell.

POSCAR file:
```
ZrCoOs
1.0
-3.774 3.007 1.614
-0.548 -5.058 -0.072
4.195 -0.556 2.826
Zr Co Os
2 2 2
Cartesian
2.659 -0.368 2.868
-2.786 -2.239 1.500
1.823 -2.807 1.377
0.210 1.225 2.220
-0.063 -1.304 2.184
-0.274 -2.529 -0.036
```



Which of them is the most stable? Correct choice: ii.



i:
Computed, not measured: a relaxed CoP5 crystal at the GGA-PBE level of DFT.

Results
As for the total magnetization: 0.00 μB per cell. The density of states at the Fermi level comes out at 0.3122 states/eV/atom. The value obtained for the mass density is 3.95 g cm⁻³. For the volume, the calculation gives 90.0 Å³/cell.

POSCAR file:
```
CoP5
1.0
5.360 1.421 -2.830
-6.147 -0.871 -0.458
-0.667 4.250 0.870
Co P
1 5
Cartesian
-5.474 -0.737 -0.597
-1.123 0.130 -1.494
1.657 0.683 -2.067
-2.141 2.118 -0.917
2.139 2.971 -1.800
-6.092 1.331 -0.103
```



ii:
Computed, not measured: a relaxed CoP5 crystal at the GGA-PBE level of DFT.

Results
As for the total magnetization: 1.39 μB per cell. The density of states at the Fermi level comes out at 0.9732 states/eV/atom. The value obtained for the mass density is 4.14 g cm⁻³. For the volume, the calculation gives 85.8 Å³/cell.

POSCAR file:
```
CoP5
1.0
0.000 3.501 3.501
3.501 0.000 3.501
3.501 3.501 0.000
Co P
1 5
Cartesian
0.000 0.000 0.000
1.751 1.751 1.751
4.374 4.374 4.374
2.628 2.628 4.374
4.374 2.628 2.628
2.628 4.374 2.628
```



Which of them is the most stable? Correct choice: i.



i:
Computed, not measured: a relaxed CoP3 crystal at the GGA-PBE level of DFT.

Results
As for the total magnetization: 0.00 μB per cell. The density of states at the Fermi level comes out at 0.6319 states/eV/atom. The value obtained for the mass density is 4.76 g cm⁻³. For the volume, the calculation gives 53.0 Å³/cell.

POSCAR file:
```
CoP3
1.0
-1.225 2.606 -2.916
2.740 -2.615 -1.566
-3.231 -2.089 1.411
Co P
1 3
Cartesian
0.000 0.000 0.000
-0.246 -2.352 -0.077
-2.228 0.259 -0.753
0.758 -0.004 -2.241
```



ii:
Computed, not measured: a relaxed CoP3 crystal at the GGA-PBE level of DFT.

Results
As for the total magnetization: 0.00 μB per cell. The density of states at the Fermi level comes out at 0.5966 states/eV/atom. The value obtained for the mass density is 4.91 g cm⁻³. For the volume, the calculation gives 51.4 Å³/cell.

POSCAR file:
```
CoP3
1.0
2.850 0.000 0.000
0.000 2.850 0.000
0.000 0.000 6.331
Co P
1 3
Cartesian
0.000 0.000 0.000
1.425 1.425 1.353
0.000 0.000 3.165
1.425 1.425 4.978
```



iii:
Computed, not measured: a relaxed CoP3 crystal at the GGA-PBE level of DFT.

Results
As for the total magnetization: 0.00 μB per cell. The density of states at the Fermi level comes out at 0.5387 states/eV/atom. The value obtained for the mass density is 4.72 g cm⁻³. For the volume, the calculation gives 213.9 Å³/cell.

POSCAR file:
```
CoP3
1.0
-0.481 -1.302 -6.621
-2.522 -4.376 4.500
-4.744 2.569 -0.160
P Co
12 4
Cartesian
-0.241 -0.651 -3.310
-2.613 0.633 -3.390
-1.261 -2.188 2.250
-1.501 -2.839 -1.060
-3.874 -1.555 -1.140
-3.633 -0.904 2.170
-3.311 -3.438 -2.539
-4.436 0.328 0.258
-1.740 -0.467 -1.430
-1.992 -1.149 -4.893
-5.755 -1.961 2.612
-6.007 -2.642 -0.851
0.000 0.000 0.000
-2.372 1.284 -0.080
-3.028 -2.709 0.753
-4.720 -0.400 -3.034
```



Which of them is the most stable? Correct choice: i.



i:
Computed, not measured: a relaxed CoP3 crystal at the GGA-PBE level of DFT.

Results
As for the total magnetization: 0.00 μB per cell. The density of states at the Fermi level comes out at 0.2654 states/eV/atom. The value obtained for the mass density is 4.11 g cm⁻³. For the volume, the calculation gives 61.4 Å³/cell.

POSCAR file:
```
CoP3
1.0
-1.579 2.339 -1.808
-1.719 -2.390 -1.591
-3.925 0.291 3.804
Co P
1 3
Cartesian
-3.597 0.266 3.487
-3.240 1.351 1.471
-5.248 0.241 1.789
-1.680 -1.134 0.000
```



ii:
Computed, not measured: a relaxed CoP3 crystal at the GGA-PBE level of DFT.

Results
As for the total magnetization: 0.00 μB per cell. The density of states at the Fermi level comes out at 0.3013 states/eV/atom. The value obtained for the mass density is 4.30 g cm⁻³. For the volume, the calculation gives 58.6 Å³/cell.

POSCAR file:
```
CoP3
1.0
-2.118 -5.295 0.946
2.533 -4.934 1.632
-0.500 5.675 0.982
Co P
1 3
Cartesian
-1.309 0.190 0.964
0.143 -3.526 0.889
0.272 -6.703 1.689
1.016 0.371 1.307
```



Which of them is the most stable? Correct choice: i.



i:
Computed, not measured: a relaxed Co3P5 crystal at the GGA-PBE level of DFT.

Results
As for the total magnetization: 0.00 μB per cell. The density of states at the Fermi level comes out at 0.5277 states/eV/atom. The value obtained for the mass density is 4.79 g cm⁻³. For the volume, the calculation gives 229.8 Å³/cell.

POSCAR file:
```
Co3P5
1.0
-5.413 3.131 3.607
1.481 -7.058 -0.373
5.196 2.405 2.847
P Co
10 6
Cartesian
2.436 -3.233 1.979
-1.166 1.709 4.097
0.294 4.204 5.454
0.974 -5.727 0.623
-1.626 -1.093 3.089
2.893 -0.433 2.991
2.005 1.674 4.467
-0.736 -3.197 1.610
1.365 -0.642 0.879
-0.098 -0.884 5.200
2.249 -0.541 5.271
-0.981 -0.983 0.807
0.580 1.753 2.829
0.690 -3.277 3.247
4.332 -2.192 2.604
-3.063 0.669 3.473
```



ii:
Computed, not measured: a relaxed Co3P5 crystal at the GGA-PBE level of DFT.

Results
As for the total magnetization: 0.00 μB per cell. The density of states at the Fermi level comes out at 0.3975 states/eV/atom. The value obtained for the mass density is 5.44 g cm⁻³. For the volume, the calculation gives 202.6 Å³/cell.

POSCAR file:
```
Co3P5
1.0
-5.723 -2.512 -3.538
6.302 0.670 -3.380
1.103 -4.227 1.218
P Co
10 6
Cartesian
2.294 -0.391 -3.433
-1.163 -3.565 -2.877
-1.715 -1.452 -3.485
2.845 -2.504 -2.824
-1.311 -1.753 -0.677
-3.309 -4.986 -1.644
2.023 -0.871 -0.633
0.694 -2.388 -4.695
0.988 -3.681 -1.005
5.381 -2.685 -1.529
-3.221 -2.592 -1.857
-1.399 -4.147 -0.463
4.126 -0.647 -1.761
0.501 -1.773 -2.387
1.181 -4.295 -3.314
3.278 -2.909 -0.401
```



iii:
Computed, not measured: a relaxed Co3P5 crystal at the GGA-PBE level of DFT.

Results
As for the total magnetization: 0.00 μB per cell. The density of states at the Fermi level comes out at 0.6130 states/eV/atom. The value obtained for the mass density is 5.47 g cm⁻³. For the volume, the calculation gives 100.7 Å³/cell.

POSCAR file:
```
Co3P5
1.0
1.827 2.670 -4.333
-3.616 -3.940 -0.799
-2.893 2.580 0.370
Co P
3 5
Cartesian
-0.894 -0.635 -2.566
-1.282 1.941 -3.068
-3.400 -0.631 -1.693
0.000 0.000 0.000
-1.808 -1.970 -0.399
0.914 1.335 -2.166
-1.931 0.946 -1.204
-2.751 0.364 -3.557
```



Which of them is the most stable? Correct choice: i.



i:
Computed, not measured: a relaxed Co3P4 crystal at the GGA-PBE level of DFT.

Results
As for the total magnetization: 1.31 μB per cell. The density of states at the Fermi level comes out at 0.8479 states/eV/atom. The value obtained for the mass density is 5.75 g cm⁻³. For the volume, the calculation gives 86.8 Å³/cell.

POSCAR file:
```
Co3P4
1.0
2.475 -4.287 0.000
2.475 4.287 0.000
0.000 0.000 4.092
Co P
3 4
Cartesian
1.238 2.144 0.000
2.475 0.000 0.000
1.238 -2.144 0.000
0.000 0.000 1.017
0.000 0.000 3.074
2.475 -1.429 2.046
2.475 1.429 2.046
```



ii:
Computed, not measured: a relaxed Co3P4 crystal at the GGA-PBE level of DFT.

Results
As for the total magnetization: 0.05 μB per cell. The density of states at the Fermi level comes out at 0.5599 states/eV/atom. The value obtained for the mass density is 5.96 g cm⁻³. For the volume, the calculation gives 83.8 Å³/cell.

POSCAR file:
```
Co3P4
1.0
-1.556 1.556 8.652
1.556 -1.556 8.652
1.556 1.556 -8.652
Co P
3 4
Cartesian
0.000 0.000 0.000
0.000 0.000 12.152
0.000 0.000 5.153
0.000 0.000 14.432
0.000 0.000 2.873
0.000 0.000 9.835
0.000 0.000 7.470
```



Which of them is the most stable? Correct choice: ii.



i:
Computed, not measured: a relaxed Co4P crystal at the GGA-PBE level of DFT.

Results
As for the total magnetization: 5.55 μB per cell. The density of states at the Fermi level comes out at 1.1508 states/eV/atom. The value obtained for the mass density is 7.33 g cm⁻³. For the volume, the calculation gives 60.4 Å³/cell.

POSCAR file:
```
Co4P
1.0
-1.557 1.557 6.234
1.557 -1.557 6.234
1.557 1.557 -6.234
Co P
4 1
Cartesian
0.000 1.557 3.117
1.557 0.000 3.117
0.000 0.000 7.423
0.000 0.000 5.044
0.000 0.000 0.000
```



ii:
Computed, not measured: a relaxed Co4P crystal at the GGA-PBE level of DFT.

Results
As for the total magnetization: 5.51 μB per cell. The density of states at the Fermi level comes out at 2.0082 states/eV/atom. The value obtained for the mass density is 6.51 g cm⁻³. For the volume, the calculation gives 68.1 Å³/cell.

POSCAR file:
```
Co4P
1.0
4.083 0.000 0.000
0.000 4.083 0.000
0.000 0.000 4.083
P Co
1 4
Cartesian
2.041 2.041 2.041
0.000 0.000 0.000
2.041 0.000 2.041
0.000 2.041 2.041
2.041 2.041 0.000
```



iii:
Computed, not measured: a relaxed Co4P crystal at the GGA-PBE level of DFT.

Results
As for the total magnetization: 5.25 μB per cell. The density of states at the Fermi level comes out at 1.5644 states/eV/atom. The value obtained for the mass density is 6.82 g cm⁻³. For the volume, the calculation gives 65.0 Å³/cell.

POSCAR file:
```
Co4P
1.0
-1.848 2.041 3.415
-2.143 1.067 -3.676
-0.205 -4.340 0.604
Co P
4 1
Cartesian
-0.924 1.020 1.707
-2.098 -0.616 0.172
-1.071 0.534 -1.838
-0.103 -2.170 0.302
0.000 0.000 0.000
```



Which of them is the most stable? Correct choice: iii.



i:
Computed, not measured: a relaxed PaCo3P2 crystal at the GGA-PBE level of DFT.

Results
As for the total magnetization: 0.02 μB per cell. The density of states at the Fermi level comes out at 0.7624 states/eV/atom. The value obtained for the mass density is 9.78 g cm⁻³. For the volume, the calculation gives 239.4 Å³/cell.

POSCAR file:
```
PaCo3P2
1.0
-1.494 -3.383 0.204
5.964 -0.894 -4.784
3.206 -0.907 8.440
Pa Co P
3 9 6
Cartesian
3.879 -1.446 4.412
3.798 -3.737 -0.553
0.000 0.000 0.000
1.563 -0.543 2.437
6.114 -4.641 1.422
3.563 -1.500 1.217
4.113 -3.684 2.642
1.131 -2.487 0.663
6.545 -2.697 3.196
0.856 -2.145 4.322
3.480 -1.701 -2.722
4.196 -3.483 6.581
2.470 -1.138 -0.789
5.207 -4.046 4.648
5.562 -2.604 -2.465
2.114 -2.580 6.325
5.541 -2.369 1.292
2.135 -2.815 2.567
```



ii:
Computed, not measured: a relaxed PaCo3P2 crystal at the GGA-PBE level of DFT.

Results
As for the total magnetization: 1.26 μB per cell. The density of states at the Fermi level comes out at 0.8274 states/eV/atom. The value obtained for the mass density is 9.65 g cm⁻³. For the volume, the calculation gives 161.7 Å³/cell.

POSCAR file:
```
PaCo3P2
1.0
3.713 0.000 0.000
-1.857 7.167 0.241
0.000 -3.024 5.972
Pa Co P
2 6 4
Cartesian
1.857 2.151 5.749
0.000 1.992 0.464
0.000 2.851 3.505
1.857 4.640 4.004
1.857 -0.662 4.226
0.000 4.805 1.987
0.000 -0.497 2.208
1.857 1.292 2.708
0.000 4.394 5.099
1.857 -0.251 1.114
1.857 3.458 2.123
0.000 0.684 4.090
```



Which of them is the most stable? Correct choice: i.